[1]
# Tb8ZnCd2 GGA-PBE relaxed
data_Tb8ZnCd2
_cell_length_a 18.029
_cell_length_b 5.268
_cell_length_c 6.933
_cell_angle_alpha 90.00
_cell_angle_beta 106.34
_cell_angle_gamma 90.00
_symmetry_space_group_name_H-M 'C 1 2/m 1'
_symmetry_Int_Tables_number 12
loop_
_symmetry_equiv_pos_as_xyz
'x,y,z'
'-x,-y,-z'
'-x,y,-z'
'x,-y,z'
'x+1/2,y+1/2,z'
'-x+1/2,-y+1/2,-z'
'-x+1/2,y+1/2,-z'
'x+1/2,-y+1/2,z'
loop_
_atom_site_label
_atom_site_type_symbol
_atom_site_fract_x
_atom_site_fract_y
_atom_site_fract_z
Tb1 Tb 0.020 0.000 0.273
Tb2 Tb 0.092 0.500 0.953
Tb3 Tb 0.160 0.500 0.467
Tb4 Tb 0.198 0.000 0.797
Zn1 Zn 0.000 0.500 0.500
Cd1 Cd 0.185 0.000 0.220
# ΔH_f (0 K)	-132	kJ/mol of formula units
# total DFT energy (no corrections)	-83.04	eV for the cell shown

[2]
# TbZnCd5 GGA-PBE relaxed
data_TbZnCd5
_cell_length_a 4.695
_cell_length_b 4.695
_cell_length_c 7.345
_cell_angle_alpha 90.00
_cell_angle_beta 90.00
_cell_angle_gamma 90.00
_symmetry_space_group_name_H-M 'P 4/m m m'
_symmetry_Int_Tables_number 123
_symmetry_space_group_name_Hall '-P 4 2'
loop_
_atom_site_label
_atom_site_type_symbol
_atom_site_fract_x
_atom_site_fract_y
_atom_site_fract_z
Tb1 Tb 0.000 0.000 0.000
Zn1 Zn 0.000 0.000 0.500
Cd1 Cd 0.000 0.500 0.294
Cd2 Cd 0.500 0.500 0.000
# ΔH_f (0 K)	-116	kJ/mol of formula units
# total DFT energy (no corrections)	-11.68	eV for the cell shown

[3]
# Tb7Zn2Cd2 GGA-PBE relaxed
data_Tb7Zn2Cd2
_cell_length_a 7.600
_cell_length_b 11.102
_cell_length_c 7.630
_cell_angle_alpha 90.00
_cell_angle_beta 90.00
_cell_angle_gamma 90.00
_symmetry_space_group_name_H-M 'C m m m'
_symmetry_Int_Tables_number 65
_symmetry_space_group_name_Hall '-C 2 2'
loop_
_atom_site_label
_atom_site_type_symbol
_atom_site_fract_x
_atom_site_fract_y
_atom_site_fract_z
Tb1 Tb 0.000 0.000 0.000
Tb2 Tb 0.000 0.500 0.242
Tb3 Tb 0.250 0.250 0.278
Zn1 Zn 0.000 0.290 0.000
Cd1 Cd 0.179 0.000 0.500
# ΔH_f (0 K)	8	kJ/mol of formula units
# total DFT energy (no corrections)	-73.42	eV for the cell shown

[4]
# TbZn3Cd GGA-PBE relaxed
data_TbZn3Cd
_cell_length_a 5.848
_cell_length_b 5.504
_cell_length_c 6.018
_cell_angle_alpha 90.00
_cell_angle_beta 91.85
_cell_angle_gamma 90.00
_symmetry_space_group_name_H-M 'P 1 21/m 1'
_symmetry_Int_Tables_number 11
loop_
_symmetry_equiv_pos_as_xyz
'x,y,z'
'-x,-y,-z'
'-x,y+1/2,-z'
'x,-y+1/2,z'
loop_
_atom_site_label
_atom_site_type_symbol
_atom_site_fract_x
_atom_site_fract_y
_atom_site_fract_z
Tb1 Tb 0.169 0.250 0.143
Zn1 Zn 0.358 0.750 0.039
Zn2 Zn 0.368 0.002 0.670
Cd1 Cd 0.051 0.750 0.376
# ΔH_f (0 K)	-106	kJ/mol of formula units
# total DFT energy (no corrections)	-20.94	eV for the cell shown